Compound: La2VIF
Source: Alexandria
Functional: PBE+U
Structure: relaxed

The structure in CIF format:
```
data_La2VIF
_symmetry_space_group_name_H-M 'P 4/m m m'
_symmetry_Int_Tables_number 123
_symmetry_space_group_name_Hall '-P 4 2'
_cell_length_a 6.012
_cell_length_b 6.012
_cell_length_c 5.138
_cell_angle_alpha 90.00
_cell_angle_beta 90.00
_cell_angle_gamma 90.00
loop_
_atom_site_label
_atom_site_fract_x
_atom_site_fract_y
_atom_site_fract_z
La1 0.000 0.500 0.000
V1 0.000 0.000 0.500
I1 0.000 0.000 0.000
F1 0.500 0.500 0.500
```

Output
- total moment (μB/f.u.) = 4.4
- crystal system = tetragonal
- E_tot (eV per atom) = -3.8994